Material: CsPbW2O8
Method: DFT, PBE with a Hubbard U
State: relaxed

a b c (Å): 10.1503 10.1503 10.1503
angles (deg): 32.26 32.26 32.26
Element x y z (fractional)
Cs1 0.0000 0.0000 0.0000
Pb1 0.5000 0.5000 0.5000
W1 0.2389 0.2389 0.2389
W2 0.7611 0.7611 0.7611
O1 0.1055 0.4922 0.7455
O2 0.2545 0.5078 0.8945
O3 0.3007 0.3007 0.3007
O4 0.4922 0.7455 0.1055
O5 0.5078 0.8945 0.2545
O6 0.6993 0.6993 0.6993
O7 0.7455 0.1055 0.4922
O8 0.8945 0.2545 0.5078

## Properties
Uncorrected energy: -79.0 eV per cell
Total magnetic moment: 0.8 μB per cell
Crystal system: trigonal